DFT (PBE-GGA) results for a geometry-optimized KAl2P structure.

Summary:
**Energy of formation**: 360 meV per atom
**Total moment**: 0.0 μB per cell

Cell: 6.2691 6.2691 2.7828 Å, 102.56 102.56 121.39°
Fractional positions:
1 K 0.0000 0.0000 0.0000
2 Al 0.0000 0.5000 0.0000
3 Al 0.5000 0.0000 0.0000
4 P 0.5000 0.5000 0.0000